Entry 1:
# SrSmAg | Alexandria via LeMat-Bulk | PBE-GGA | relaxed
# - formation enthalpy at 0 K (meV per atom) = 68
data_SrSmAg
_cell_length_a 5.1769
_cell_length_b 5.1769
_cell_length_c 4.4020
_cell_angle_alpha 90.00
_cell_angle_beta 90.00
_cell_angle_gamma 120.00
_symmetry_space_group_name_H-M 'P 3 m 1'
_symmetry_Int_Tables_number 156
_symmetry_space_group_name_Hall 'P 3 -2"'
loop_
_atom_site_label
_atom_site_fract_x
_atom_site_fract_y
_atom_site_fract_z
Sr1 0.0000 0.0000 0.0000
Sm1 0.3333 0.6667 0.5115
Ag1 0.6667 0.3333 0.4225

Entry 2:
# Mg2ScCd2 | Alexandria via LeMat-Bulk | PBE-GGA | relaxed
# - formation enthalpy at 0 K (meV per atom) = -64
data_Mg2ScCd2
_cell_length_a 8.386
_cell_length_b 8.386
_cell_length_c 3.109
_cell_angle_alpha 90.00
_cell_angle_beta 90.00
_cell_angle_gamma 90.00
_symmetry_space_group_name_H-M 'P 4/m b m'
_symmetry_Int_Tables_number 127
_symmetry_space_group_name_Hall '-P 4 2ab'
loop_
_atom_site_label
_atom_site_fract_x
_atom_site_fract_y
_atom_site_fract_z
Mg1 0.126 0.374 0.000
Sc1 0.000 0.000 0.000
Cd1 0.174 0.674 0.500

Entry 3:
# SrTl5 | Alexandria via LeMat-Bulk | PBE-GGA | relaxed
# - formation enthalpy at 0 K (meV per atom) = -131
data_SrTl5
_cell_length_a 4.223
_cell_length_b 4.223
_cell_length_c 10.773
_cell_angle_alpha 90.00
_cell_angle_beta 90.00
_cell_angle_gamma 90.00
_symmetry_space_group_name_H-M 'P 4/m m m'
_symmetry_Int_Tables_number 123
_symmetry_space_group_name_Hall '-P 4 2'
loop_
_atom_site_label
_atom_site_fract_x
_atom_site_fract_y
_atom_site_fract_z
Sr1 0.000 0.000 0.000
Tl1 0.000 0.000 0.340
Tl2 0.500 0.500 0.184
Tl3 0.500 0.500 0.500

Entry 4:
# Y7Sb3C2 | Alexandria via LeMat-Bulk | PBE-GGA | relaxed
# - uncorrected formation energy (meV/atom) = -701
data_Y7Sb3C2
_cell_length_a 4.881
_cell_length_b 24.829
_cell_length_c 4.798
_cell_angle_alpha 90.00
_cell_angle_beta 90.00
_cell_angle_gamma 90.00
_symmetry_space_group_name_H-M 'C m m m'
_symmetry_Int_Tables_number 65
_symmetry_space_group_name_Hall '-C 2 2'
loop_
_atom_site_label
_atom_site_fract_x
_atom_site_fract_y
_atom_site_fract_z
Y1 0.000 0.000 0.000
Y2 0.000 0.097 0.500
Y3 0.000 0.197 0.000
Y4 0.000 0.403 0.000
Sb1 0.000 0.312 0.500
Sb2 0.000 0.500 0.500
C1 0.000 0.100 0.000

Entry 5:
# Mg2ZnSb | Alexandria via LeMat-Bulk | PBE-GGA | relaxed
# - uncorrected formation energy (meV/atom) = 30
data_Mg2ZnSb
_cell_length_a 4.571
_cell_length_b 4.571
_cell_length_c 18.560
_cell_angle_alpha 90.00
_cell_angle_beta 90.00
_cell_angle_gamma 90.00
_symmetry_space_group_name_H-M 'I -4 2 d'
_symmetry_Int_Tables_number 122
_symmetry_space_group_name_Hall 'I -4 2bw'
loop_
_atom_site_label
_atom_site_fract_x
_atom_site_fract_y
_atom_site_fract_z
Mg1 0.219 0.250 0.125
Zn1 0.000 0.000 0.000
Sb1 0.000 0.000 0.500

Entry 6:
# LiSiNi4 | Alexandria via LeMat-Bulk | PBE-GGA | relaxed
# - uncorrected formation energy (meV/atom) = -262
data_LiSiNi4
_cell_length_a 9.667
_cell_length_b 2.645
_cell_length_c 5.276
_cell_angle_alpha 90.00
_cell_angle_beta 105.85
_cell_angle_gamma 90.00
_symmetry_space_group_name_H-M 'C 1 2/m 1'
_symmetry_Int_Tables_number 12
_symmetry_space_group_name_Hall '-C 2y'
loop_
_atom_site_label
_atom_site_fract_x
_atom_site_fract_y
_atom_site_fract_z
Li1 0.000 0.000 0.000
Si1 0.000 0.000 0.500
Ni1 0.156 0.500 0.337
Ni2 0.163 0.500 0.822

Entry 7:
# NdPu2HfAs4 | Alexandria via LeMat-Bulk | PBE-GGA | relaxed
# - formation enthalpy at 0 K (meV per atom) = -1139
data_NdPu2HfAs4
_cell_length_a 7.050
_cell_length_b 4.087
_cell_length_c 7.118
_cell_angle_alpha 90.00
_cell_angle_beta 109.33
_cell_angle_gamma 90.00
_symmetry_space_group_name_H-M 'P 1 2/m 1'
_symmetry_Int_Tables_number 10
_symmetry_space_group_name_Hall '-P 2y'
loop_
_atom_site_label
_atom_site_fract_x
_atom_site_fract_y
_atom_site_fract_z
Nd1 0.000 0.000 0.000
Pu1 0.500 0.000 0.500
Pu2 0.500 0.500 0.000
Hf1 0.000 0.500 0.500
As1 0.239 0.000 0.732
As2 0.250 0.500 0.266

Entry 8:
# Be2CrPt | Alexandria via LeMat-Bulk | PBE-GGA | relaxed
# - formation enthalpy at 0 K (meV per atom) = -113
data_Be2CrPt
_cell_length_a 5.706
_cell_length_b 5.706
_cell_length_c 5.706
_cell_angle_alpha 90.00
_cell_angle_beta 90.00
_cell_angle_gamma 90.00
_symmetry_space_group_name_H-M 'F -4 3 m'
_symmetry_Int_Tables_number 216
_symmetry_space_group_name_Hall 'F -4 2 3'
loop_
_atom_site_label
_atom_site_fract_x
_atom_site_fract_y
_atom_site_fract_z
Be1 0.000 0.000 0.000
Be2 0.250 0.250 0.250
Cr1 0.250 0.250 0.750
Pt1 0.000 0.000 0.500

Entry 9:
# K12Tl5Pb3 | Alexandria via LeMat-Bulk | PBE-GGA | relaxed
# - formation enthalpy at 0 K (meV per atom) = 227
data_K12Tl5Pb3
_cell_length_a 20.738
_cell_length_b 20.738
_cell_length_c 20.738
_cell_angle_alpha 90.00
_cell_angle_beta 90.00
_cell_angle_gamma 90.00
_symmetry_space_group_name_H-M 'I a -3 d'
_symmetry_Int_Tables_number 230
_symmetry_space_group_name_Hall '-I 4bd 2c 3'
loop_
_atom_site_label
_atom_site_fract_x
_atom_site_fract_y
_atom_site_fract_z
K1 0.017 0.080 0.652
Tl1 0.000 0.000 0.000
Tl2 0.000 0.250 0.375
Pb1 0.000 0.250 0.125

Entry 10:
# CaTe2Ir | Alexandria via LeMat-Bulk | PBE-GGA | relaxed
# - uncorrected formation energy (meV/atom) = -519
data_CaTe2Ir
_cell_length_a 4.2413
_cell_length_b 4.2413
_cell_length_c 19.9081
_cell_angle_alpha 90.00
_cell_angle_beta 90.00
_cell_angle_gamma 120.00
_symmetry_space_group_name_H-M 'R -3 m'
_symmetry_Int_Tables_number 166
_symmetry_space_group_name_Hall '-R 3 2"'
loop_
_atom_site_label
_atom_site_fract_x
_atom_site_fract_y
_atom_site_fract_z
Ca1 0.0000 0.0000 0.0000
Te1 0.0000 0.0000 0.2306
Ir1 0.0000 0.0000 0.5000

Entry 11:
# LuInBi | Alexandria via LeMat-Bulk | PBE-GGA | relaxed
# - formation enthalpy at 0 K (meV per atom) = -250
data_LuInBi
_cell_length_a 4.076
_cell_length_b 4.076
_cell_length_c 10.094
_cell_angle_alpha 90.00
_cell_angle_beta 90.00
_cell_angle_gamma 90.00
_symmetry_space_group_name_H-M 'I 4 m m'
_symmetry_Int_Tables_number 107
_symmetry_space_group_name_Hall 'I 4 -2'
loop_
_atom_site_label
_atom_site_fract_x
_atom_site_fract_y
_atom_site_fract_z
Lu1 0.000 0.000 0.000
In1 0.000 0.000 0.668
Bi1 0.000 0.000 0.347

Entry 12:
# VCo3Mo | Alexandria via LeMat-Bulk | PBE-GGA | relaxed
# - formation enthalpy at 0 K (meV per atom) = 150
data_VCo3Mo
_cell_length_a 7.596
_cell_length_b 3.435
_cell_length_c 9.537
_cell_angle_alpha 90.00
_cell_angle_beta 90.00
_cell_angle_gamma 90.00
_symmetry_space_group_name_H-M 'P n m a'
_symmetry_Int_Tables_number 62
_symmetry_space_group_name_Hall '-P 2ac 2n'
loop_
_atom_site_label
_atom_site_fract_x
_atom_site_fract_y
_atom_site_fract_z
V1 0.066 0.250 0.102
Co1 0.079 0.750 0.288
Co2 0.144 0.250 0.879
Co3 0.155 0.750 0.698
Mo1 0.139 0.250 0.483

Entry 13:
# K2Cu2PdSe4 | Alexandria via LeMat-Bulk | PBE-GGA | relaxed
# - uncorrected formation energy (meV/atom) = -542
data_K2Cu2PdSe4
_cell_length_a 14.929
_cell_length_b 3.985
_cell_length_c 7.554
_cell_angle_alpha 90.00
_cell_angle_beta 110.91
_cell_angle_gamma 90.00
_symmetry_space_group_name_H-M 'C 1 2/m 1'
_symmetry_Int_Tables_number 12
_symmetry_space_group_name_Hall '-C 2y'
loop_
_atom_site_label
_atom_site_fract_x
_atom_site_fract_y
_atom_site_fract_z
K1 0.134 0.000 0.062
Cu1 0.191 0.500 0.483
Pd1 0.000 0.000 0.500
Se1 0.020 0.500 0.292
Se2 0.188 0.000 0.674

Entry 14:
# BaCaPt2 | Alexandria via LeMat-Bulk | PBE-GGA | relaxed
# - formation enthalpy at 0 K (meV per atom) = -749
data_BaCaPt2
_cell_length_a 4.523
_cell_length_b 4.216
_cell_length_c 11.405
_cell_angle_alpha 90.00
_cell_angle_beta 90.00
_cell_angle_gamma 90.00
_symmetry_space_group_name_H-M 'A m m 2'
_symmetry_Int_Tables_number 38
_symmetry_space_group_name_Hall 'A 2 -2'
loop_
_atom_site_label
_atom_site_fract_x
_atom_site_fract_y
_atom_site_fract_z
Ba1 0.000 0.000 0.000
Ca1 0.500 0.000 0.278
Pt1 0.000 0.000 0.724
Pt2 0.500 0.000 0.584

Entry 15:
# AlHgBr | Alexandria via LeMat-Bulk | PBE-GGA | relaxed
# - uncorrected formation energy (meV/atom) = -85
data_AlHgBr
_cell_length_a 7.183
_cell_length_b 7.183
_cell_length_c 7.183
_cell_angle_alpha 90.00
_cell_angle_beta 90.00
_cell_angle_gamma 90.00
_symmetry_space_group_name_H-M 'F -4 3 m'
_symmetry_Int_Tables_number 216
_symmetry_space_group_name_Hall 'F -4 2 3'
loop_
_atom_site_label
_atom_site_fract_x
_atom_site_fract_y
_atom_site_fract_z
Al1 0.000 0.000 0.000
Hg1 0.250 0.250 0.750
Br1 0.250 0.250 0.250

Entry 16:
# CePaH | Alexandria via LeMat-Bulk | PBE-GGA | relaxed
# - E_tot (eV/f.u.) = -18.52
data_CePaH
_cell_length_a 3.111
_cell_length_b 3.111
_cell_length_c 11.014
_cell_angle_alpha 90.00
_cell_angle_beta 90.00
_cell_angle_gamma 90.00
_symmetry_space_group_name_H-M 'I 4 m m'
_symmetry_Int_Tables_number 107
_symmetry_space_group_name_Hall 'I 4 -2'
loop_
_atom_site_label
_atom_site_fract_x
_atom_site_fract_y
_atom_site_fract_z
Ce1 0.000 0.000 0.000
Pa1 0.000 0.000 0.264
H1 0.000 0.000 0.659

Entry 17:
# YAlIr2 | Alexandria via LeMat-Bulk | PBE-GGA | relaxed
# - formation enthalpy at 0 K (meV per atom) = -184
data_YAlIr2
_cell_length_a 6.546
_cell_length_b 6.546
_cell_length_c 6.546
_cell_angle_alpha 90.00
_cell_angle_beta 90.00
_cell_angle_gamma 90.00
_symmetry_space_group_name_H-M 'F -4 3 m'
_symmetry_Int_Tables_number 216
_symmetry_space_group_name_Hall 'F -4 2 3'
loop_
_atom_site_label
_atom_site_fract_x
_atom_site_fract_y
_atom_site_fract_z
Y1 0.000 0.000 0.000
Al1 0.250 0.250 0.750
Ir1 0.000 0.000 0.500
Ir2 0.250 0.250 0.250